(1)
Compound: LiHf3Si5
Source: OQMD via LeMat-Bulk
Functional: GGA-PBE
Structure: optimized geometry

Cell lengths 5.7553, 5.7553, 6.6132 Å; angles 90.00, 90.00, 120.00 degrees
Space group P6/mmm (No. 191)
One atom of each set of equivalent atoms:
Li (0.0000, 0.0000, 0.0000) x1
Hf (0.0000, 0.5000, 0.5000) x3
Si (0.0000, 0.0000, 0.5000) x1
Si (0.3333, 0.6667, 0.1718) x4

Calculated values
DFT total energy: -58.3 eV/cell
theoretical density: 5.98 Mg/m³


(2)
Compound: LuSnNO
Source: OQMD via LeMat-Bulk
Functional: GGA-PBE
Structure: optimized geometry

Cell lengths 4.170, 4.170, 7.212 Å; angles 90.00, 90.00, 90.00 degrees
Space group P4/nmm (No. 129, origin choice 2)
One atom of each set of equivalent atoms:
Lu (0.250, 0.250, 0.105) x2
Sn (0.250, 0.750, 0.500) x2
N (0.250, 0.250, 0.656) x2
O (0.250, 0.750, 0.000) x2

Calculated values
theoretical density: 8.57 Mg/m³
distance to the lowest polymorph of the same formula: 469.1 meV per atom


(3)
Compound: Zn2Ag
Source: OQMD via LeMat-Bulk
Functional: GGA-PBE
Structure: optimized geometry

Cell lengths 7.478, 4.505, 11.372 Å; angles 90.00, 100.91, 90.00 degrees
Space group P2_1/m (No. 11)
One atom of each set of equivalent atoms:
Zn (0.047, 0.250, 0.316) x2
Zn (0.054, 0.250, 0.824) x2
Zn (0.056, 0.250, 0.073) x2
Zn (0.058, 0.250, 0.561) x2
Zn (0.277, 0.750, 0.598) x2
Zn (0.277, 0.750, 0.847) x2
Zn (0.393, 0.250, 0.985) x2
Zn (0.395, 0.250, 0.489) x2
Ag (0.265, 0.750, 0.354) x2
Ag (0.271, 0.750, 0.088) x2
Ag (0.370, 0.250, 0.733) x2
Ag (0.390, 0.250, 0.238) x2

Calculated values
theoretical density: 8.43 Mg/m³
ΔE_f: -0.036 eV/atom


(4)
Compound: ZrCdAsO
Source: OQMD via LeMat-Bulk
Functional: GGA-PBE
Structure: optimized geometry

Cell lengths 4.586, 4.586, 8.201 Å; angles 90.00, 90.00, 90.00 degrees
Space group P4/nmm (No. 129, origin choice 2)
One atom of each set of equivalent atoms:
Zr (0.250, 0.750, 0.000) x2
Cd (0.250, 0.250, 0.466) x2
As (0.250, 0.250, 0.841) x2
O (0.250, 0.750, 0.500) x2

Calculated values
theoretical density: 5.67 Mg/m³
distance to the lowest polymorph of the same formula: 634.3 meV per atom